No. 1
# BiSbNO2, relaxed, DFT PBE-GGA
# uncorrected energy = -4.980 eV/atom
data_BiSbNO2
_symmetry_space_group_name_H-M 'P 1'
_symmetry_Int_Tables_number 1
_cell_length_a 4.2643
_cell_length_b 4.2643
_cell_length_c 4.3979
_cell_angle_alpha 90.00
_cell_angle_beta 90.00
_cell_angle_gamma 90.00
loop_
_symmetry_equiv_pos_as_xyz
'x,y,z'
loop_
_atom_site_label
_atom_site_type_symbol
_atom_site_fract_x
_atom_site_fract_y
_atom_site_fract_z
Bi1 Bi 0.0000 0.0000 0.0000
Sb1 Sb 0.5000 0.5000 0.5000
N1 N 0.0000 0.0000 0.5000
O1 O 0.0000 0.5000 0.0000
O2 O 0.5000 0.0000 0.0000

No. 2
# BiSbN2O, relaxed, DFT PBE-GGA
# uncorrected energy = -4.136 eV/atom
data_BiSbN2O
_symmetry_space_group_name_H-M 'P 1'
_symmetry_Int_Tables_number 1
_cell_length_a 4.2846
_cell_length_b 4.2846
_cell_length_c 4.4034
_cell_angle_alpha 90.00
_cell_angle_beta 90.00
_cell_angle_gamma 90.00
loop_
_symmetry_equiv_pos_as_xyz
'x,y,z'
loop_
_atom_site_label
_atom_site_type_symbol
_atom_site_fract_x
_atom_site_fract_y
_atom_site_fract_z
Bi1 Bi 0.0000 0.0000 0.0000
Sb1 Sb 0.5000 0.5000 0.0000
N1 N 0.0000 0.5000 0.5000
N2 N 0.5000 0.0000 0.5000
O1 O 0.0000 0.0000 0.5000

No. 3
# ScBiN2O, relaxed, DFT PBE-GGA
# uncorrected energy = -6.505 eV/atom
data_ScBiN2O
_symmetry_space_group_name_H-M 'P 1'
_symmetry_Int_Tables_number 1
_cell_length_a 4.2170
_cell_length_b 4.2170
_cell_length_c 4.0324
_cell_angle_alpha 90.00
_cell_angle_beta 90.00
_cell_angle_gamma 90.00
loop_
_symmetry_equiv_pos_as_xyz
'x,y,z'
loop_
_atom_site_label
_atom_site_type_symbol
_atom_site_fract_x
_atom_site_fract_y
_atom_site_fract_z
Sc1 Sc 0.0000 0.0000 0.0000
Bi1 Bi 0.5000 0.5000 0.5000
N1 N 0.0000 0.5000 0.0000
N2 N 0.5000 0.0000 0.0000
O1 O 0.0000 0.0000 0.5000

No. 4
# ScBiN2O, relaxed, DFT PBE-GGA
# uncorrected energy = -6.027 eV/atom
data_ScBiN2O
_symmetry_space_group_name_H-M 'P 1'
_symmetry_Int_Tables_number 1
_cell_length_a 4.2415
_cell_length_b 4.2415
_cell_length_c 4.1648
_cell_angle_alpha 90.00
_cell_angle_beta 90.00
_cell_angle_gamma 90.00
loop_
_symmetry_equiv_pos_as_xyz
'x,y,z'
loop_
_atom_site_label
_atom_site_type_symbol
_atom_site_fract_x
_atom_site_fract_y
_atom_site_fract_z
Sc1 Sc 0.0000 0.0000 0.0000
Bi1 Bi 0.5000 0.5000 0.5000
N1 N 0.0000 0.5000 0.5000
N2 N 0.5000 0.0000 0.5000
O1 O 0.5000 0.5000 0.0000

No. 5
# BiSe2NO, relaxed, DFT PBE-GGA
# polymorph energy (0 for the lowest one) = 565 meV per atom
data_BiSe2NO
_symmetry_space_group_name_H-M 'P 1'
_symmetry_Int_Tables_number 1
_cell_length_a 5.6367
_cell_length_b 5.6367
_cell_length_c 4.5901
_cell_angle_alpha 90.00
_cell_angle_beta 90.00
_cell_angle_gamma 90.00
loop_
_symmetry_equiv_pos_as_xyz
'x,y,z'
loop_
_atom_site_label
_atom_site_type_symbol
_atom_site_fract_x
_atom_site_fract_y
_atom_site_fract_z
Bi1 Bi 0.0000 0.0000 0.0000
Se1 Se 0.0000 0.5000 0.0000
Se2 Se 0.5000 0.0000 0.0000
N1 N 0.0000 0.0000 0.5000
O1 O 0.5000 0.5000 0.5000

No. 6
# BiSe2NO, relaxed, DFT PBE-GGA
# polymorph energy (0 for the lowest one) = 0 meV per atom
data_BiSe2NO
_symmetry_space_group_name_H-M 'P 1'
_symmetry_Int_Tables_number 1
_cell_length_a 4.3142
_cell_length_b 4.3142
_cell_length_c 4.6191
_cell_angle_alpha 90.00
_cell_angle_beta 90.00
_cell_angle_gamma 90.00
loop_
_symmetry_equiv_pos_as_xyz
'x,y,z'
loop_
_atom_site_label
_atom_site_type_symbol
_atom_site_fract_x
_atom_site_fract_y
_atom_site_fract_z
Bi1 Bi 0.0000 0.0000 0.0000
Se1 Se 0.0000 0.5000 0.5000
Se2 Se 0.5000 0.0000 0.5000
N1 N 0.5000 0.5000 0.0000
O1 O 0.5000 0.5000 0.5000

No. 7
# SiBiNO2, relaxed, DFT PBE-GGA
# uncorrected energy = -4.971 eV/atom
data_SiBiNO2
_symmetry_space_group_name_H-M 'P 1'
_symmetry_Int_Tables_number 1
_cell_length_a 4.2020
_cell_length_b 4.2020
_cell_length_c 4.3151
_cell_angle_alpha 90.00
_cell_angle_beta 90.00
_cell_angle_gamma 90.00
loop_
_symmetry_equiv_pos_as_xyz
'x,y,z'
loop_
_atom_site_label
_atom_site_type_symbol
_atom_site_fract_x
_atom_site_fract_y
_atom_site_fract_z
Si1 Si 0.0000 0.0000 0.0000
Bi1 Bi 0.5000 0.5000 0.5000
N1 N 0.5000 0.5000 0.0000
O1 O 0.0000 0.5000 0.5000
O2 O 0.5000 0.0000 0.5000

No. 8
# SiBiN2O, relaxed, DFT PBE-GGA
# uncorrected energy = -6.452 eV/atom
data_SiBiN2O
_symmetry_space_group_name_H-M 'P 1'
_symmetry_Int_Tables_number 1
_cell_length_a 3.7654
_cell_length_b 3.7654
_cell_length_c 3.6996
_cell_angle_alpha 90.00
_cell_angle_beta 90.00
_cell_angle_gamma 90.00
loop_
_symmetry_equiv_pos_as_xyz
'x,y,z'
loop_
_atom_site_label
_atom_site_type_symbol
_atom_site_fract_x
_atom_site_fract_y
_atom_site_fract_z
Si1 Si 0.0000 0.0000 0.0000
Bi1 Bi 0.5000 0.5000 0.5000
N1 N 0.0000 0.5000 0.0000
N2 N 0.5000 0.0000 0.0000
O1 O 0.0000 0.0000 0.5000